[1]
VASP calculation (PBE) on a relaxed Pr2DyY5 crystal.

```
data_Pr2DyY5
_cell_length_a 16.304
_cell_length_b 9.976
_cell_length_c 6.655
_cell_angle_alpha 90.00
_cell_angle_beta 99.90
_cell_angle_gamma 90.00
_symmetry_space_group_name_H-M 'C 1 2/c 1'
_symmetry_Int_Tables_number 15
_symmetry_space_group_name_Hall '-C 2yc'
loop_
_atom_site_label
_atom_site_fract_x
_atom_site_fract_y
_atom_site_fract_z
_atom_site_occupancy
Pr1 0.081 0.245 0.124 1
Dy1 0.250 0.250 0.000 1
Y1 0.000 0.438 0.750 1
Y2 0.100 0.088 0.649 1
Y3 0.200 0.413 0.530 1
```

Computed properties:
Relative energy among the computed polymorphs (meV per atom): 124.2
Total magnetization (μB/cell): 0.00
Energy of formation from the pure elements (meV per atom): 146

---

[2]
VASP calculation (PBE) on a relaxed Ho2Ga3Cu4Ag crystal.

```
data_Ho2Ga3Cu4Ag
_cell_length_a 4.017
_cell_length_b 4.017
_cell_length_c 10.843
_cell_angle_alpha 90.00
_cell_angle_beta 90.00
_cell_angle_gamma 90.00
_symmetry_space_group_name_H-M 'P -4 m 2'
_symmetry_Int_Tables_number 115
_symmetry_space_group_name_Hall 'P -4 -2'
loop_
_atom_site_label
_atom_site_fract_x
_atom_site_fract_y
_atom_site_fract_z
_atom_site_occupancy
Ho1 0.000 0.500 0.244 1
Ga1 0.000 0.500 0.870 1
Ga2 0.500 0.500 0.500 1
Cu1 0.000 0.000 0.000 1
Cu2 0.000 0.500 0.651 1
Cu3 0.500 0.500 0.000 1
Ag1 0.000 0.000 0.500 1
```

Computed properties:
Total magnetization (μB/cell): 0.00
Energy of formation from the pure elements (meV per atom): -339

---

[3]
VASP calculation (PBE) on a relaxed LiDySbPt crystal.

```
data_LiDySbPt
_cell_length_a 6.815
_cell_length_b 6.815
_cell_length_c 6.815
_cell_angle_alpha 90.00
_cell_angle_beta 90.00
_cell_angle_gamma 90.00
_symmetry_space_group_name_H-M 'F -4 3 m'
_symmetry_Int_Tables_number 216
_symmetry_space_group_name_Hall 'F -4 2 3'
loop_
_atom_site_label
_atom_site_fract_x
_atom_site_fract_y
_atom_site_fract_z
_atom_site_occupancy
Li1 0.000 0.000 0.000 1
Dy1 0.250 0.250 0.250 1
Sb1 0.250 0.250 0.750 1
Pt1 0.000 0.000 0.500 1
```

Computed properties:
Formation energy from raw total energies (eV per atom): -0.758
Total magnetization (μB/cell): 0.00